LaCdRh2: optimized geometry, PBE.

a b c (Å): 5.5301 5.5301 4.0984
angles (deg): 89.97 89.97 41.70
Positions (direct):
La 0.2268 0.2268 0.1254
Cd 0.5131 0.5131 0.6249
Rh 0.9628 0.9628 0.1247
Rh 0.7974 0.7974 0.6250

Results
* density of states at the Fermi level: 2.999 states/eV/f.u.
* symmetry: Amm2, No. 38
* formation enthalpy at 0 K: -420 meV per atom
* final energy: -22.2 eV per cell